Entry 1:
Computed, not measured: MgTeCl2 after structural relaxation at the GGA-PBEsol level of DFT.

Output
For the density of states at the Fermi level, the calculation gives 3.1 states/eV/f.u. The raw total energy comes out at -10.57 eV/cell. The distance to the lowest polymorph of the same formula comes out at 382 meV per atom.

Unit cell a=5.483 b=5.483 c=5.483 alpha=132.08 beta=132.08 gamma=70.11
Element x y z (fractional)
Mg: 0.000 0.000 0.000
Te: 0.500 0.500 0.000
Cl: 0.250 0.750 0.500
Cl: 0.750 0.250 0.500

***

Entry 2:
Computed, not measured: AlZnCd2Pt after structural relaxation at the GGA-PBEsol level of DFT.

Output
For the density of states at the Fermi level, the calculation gives 2.4 states/eV/f.u. The raw total energy comes out at -11.81 eV/cell.

Unit cell a=4.780 b=4.780 c=4.523 alpha=90.00 beta=90.00 gamma=90.00
Element x y z (fractional)
Al: 0.000 0.000 0.000
Zn: 0.000 0.000 0.500
Cd: 0.000 0.500 0.500
Cd: 0.500 0.000 0.500
Pt: 0.500 0.500 0.000

***

Entry 3:
Computed, not measured: CdCuOs2 after structural relaxation at the GGA-PBEsol level of DFT.

Output
For the density of states at the Fermi level, the calculation gives 4.4 states/eV/f.u. The raw total energy comes out at -27.75 eV/cell.

Unit cell a=2.700 b=2.700 c=9.224 alpha=90.00 beta=90.00 gamma=117.64
Element x y z (fractional)
Cd: 0.000 0.000 0.000
Cu: 0.500 0.500 0.749
Os: 0.000 0.000 0.512
Os: 0.500 0.500 0.276

***

Entry 4:
Computed, not measured: CaBeTl2 after structural relaxation at the GGA-PBEsol level of DFT.

Output
For the density of states at the Fermi level, the calculation gives 1.1 states/eV/f.u. The raw total energy comes out at -10.59 eV/cell. The distance to the lowest polymorph of the same formula comes out at 203 meV per atom.

Unit cell a=5.075 b=5.075 c=5.075 alpha=60.00 beta=60.00 gamma=60.00
Element x y z (fractional)
Ca: 0.000 0.000 0.000
Be: 0.750 0.750 0.750
Tl: 0.250 0.250 0.250
Tl: 0.500 0.500 0.500

***

Entry 5:
Computed, not measured: Pt2Au after structural relaxation at the GGA-PBEsol level of DFT.

Output
For the density of states at the Fermi level, the calculation gives 3.9 states/eV/f.u. The raw total energy comes out at -70.57 eV/cell. The distance to the lowest polymorph of the same formula comes out at 31 meV per atom.

Unit cell a=5.596 b=3.969 c=8.427 alpha=90.00 beta=90.00 gamma=90.00
Element x y z (fractional)
Pt: 0.118 0.250 0.085
Pt: 0.133 0.250 0.752
Pt: 0.367 0.750 0.252
Pt: 0.382 0.750 0.585
Pt: 0.618 0.250 0.415
Pt: 0.633 0.250 0.748
Pt: 0.867 0.750 0.248
Pt: 0.882 0.750 0.915
Au: 0.122 0.250 0.417
Au: 0.378 0.750 0.917
Au: 0.622 0.250 0.083
Au: 0.878 0.750 0.583

***

Entry 6:
Computed, not measured: LiSc3Cr after structural relaxation at the GGA-PBEsol level of DFT.

Output
For the density of states at the Fermi level, the calculation gives 4.5 states/eV/f.u. The raw total energy comes out at -29.82 eV/cell.

Unit cell a=4.901 b=4.901 c=4.901 alpha=90.00 beta=90.00 gamma=90.00
Element x y z (fractional)
Li: 0.000 0.000 0.000
Sc: 0.000 0.500 0.500
Sc: 0.500 0.000 0.500
Sc: 0.500 0.500 0.000
Cr: 0.500 0.500 0.500

***

Entry 7:
Computed, not measured: Ho5NiBi2 after structural relaxation at the GGA-PBEsol level of DFT.

Output
For the density of states at the Fermi level, the calculation gives 6.9 states/eV/f.u. The raw total energy comes out at -177.19 eV/cell.

Unit cell a=12.078 b=8.812 c=7.810 alpha=90.00 beta=90.00 gamma=90.00
Element x y z (fractional)
Ho: 0.001 0.250 0.049
Ho: 0.064 0.544 0.322
Ho: 0.064 0.956 0.322
Ho: 0.194 0.250 0.619
Ho: 0.204 0.750 0.655
Ho: 0.296 0.250 0.155
Ho: 0.306 0.750 0.119
Ho: 0.436 0.044 0.822
Ho: 0.436 0.456 0.822
Ho: 0.499 0.750 0.549
Ho: 0.501 0.250 0.451
Ho: 0.564 0.544 0.178
Ho: 0.564 0.956 0.178
Ho: 0.694 0.250 0.881
Ho: 0.704 0.750 0.845
Ho: 0.796 0.250 0.345
Ho: 0.806 0.750 0.381
Ho: 0.936 0.044 0.678
Ho: 0.936 0.456 0.678
Ho: 0.999 0.750 0.951
Ni: 0.012 0.250 0.423
Ni: 0.488 0.750 0.923
Ni: 0.512 0.250 0.077
Ni: 0.988 0.750 0.577
Bi: 0.173 0.010 0.927
Bi: 0.173 0.490 0.927
Bi: 0.327 0.510 0.427
Bi: 0.327 0.990 0.427
Bi: 0.673 0.010 0.573
Bi: 0.673 0.490 0.573
Bi: 0.827 0.510 0.073
Bi: 0.827 0.990 0.073

***

Entry 8:
Computed, not measured: Tl3FeIr after structural relaxation at the GGA-PBEsol level of DFT.

Output
For the density of states at the Fermi level, the calculation gives 7.8 states/eV/f.u. The raw total energy comes out at -20.59 eV/cell.

Unit cell a=4.899 b=4.899 c=4.899 alpha=90.00 beta=90.00 gamma=90.00
Element x y z (fractional)
Tl: 0.000 0.000 0.500
Tl: 0.000 0.500 0.000
Tl: 0.500 0.000 0.000
Fe: 0.000 0.000 0.000
Ir: 0.500 0.500 0.500

***

Entry 9:
Computed, not measured: GdCo5P3 after structural relaxation at the GGA-PBEsol level of DFT.

Output
For the density of states at the Fermi level, the calculation gives 6.2 states/eV/f.u. The raw total energy comes out at -315.39 eV/cell.

Unit cell a=11.597 b=3.598 c=10.191 alpha=90.00 beta=90.00 gamma=90.00
Element x y z (fractional)
Gd: 0.203 0.250 0.084
Gd: 0.297 0.750 0.584
Gd: 0.703 0.250 0.416
Gd: 0.797 0.750 0.916
Co: 0.009 0.750 0.716
Co: 0.012 0.750 0.093
Co: 0.068 0.750 0.469
Co: 0.176 0.250 0.781
Co: 0.198 0.250 0.383
Co: 0.302 0.750 0.883
Co: 0.324 0.750 0.281
Co: 0.432 0.250 0.969
Co: 0.488 0.250 0.593
Co: 0.491 0.250 0.216
Co: 0.509 0.750 0.784
Co: 0.512 0.750 0.407
Co: 0.568 0.750 0.031
Co: 0.676 0.250 0.719
Co: 0.698 0.250 0.117
Co: 0.802 0.750 0.617
Co: 0.824 0.750 0.219
Co: 0.932 0.250 0.531
Co: 0.988 0.250 0.907
Co: 0.991 0.250 0.284
P: 0.109 0.750 0.897
P: 0.111 0.250 0.584
P: 0.129 0.750 0.272
P: 0.371 0.250 0.772
P: 0.389 0.750 0.084
P: 0.391 0.250 0.397
P: 0.609 0.750 0.603
P: 0.611 0.250 0.916
P: 0.629 0.750 0.228
P: 0.871 0.250 0.728
P: 0.889 0.750 0.416
P: 0.891 0.250 0.103

***

Entry 10:
Computed, not measured: ZnCdCu2 after structural relaxation at the GGA-PBEsol level of DFT.

Output
For the density of states at the Fermi level, the calculation gives 1.3 states/eV/f.u. The raw total energy comes out at -11.36 eV/cell.

Unit cell a=4.284 b=4.284 c=4.284 alpha=60.00 beta=60.00 gamma=60.00
Element x y z (fractional)
Zn: 0.000 0.000 0.000
Cd: 0.500 0.500 0.500
Cu: 0.250 0.250 0.250
Cu: 0.750 0.750 0.750

***

Entry 11:
Computed, not measured: VSiP2O9 after structural relaxation at the GGA-PBEsol level of DFT.

Output
The raw total energy comes out at -418.69 eV/cell.

Unit cell a=8.743 b=8.743 c=8.216 alpha=90.00 beta=90.00 gamma=90.00
Element x y z (fractional)
V: 0.250 0.250 0.149
V: 0.250 0.250 0.649
V: 0.750 0.750 0.351
V: 0.750 0.750 0.851
Si: 0.250 0.750 0.000
Si: 0.250 0.750 0.500
Si: 0.750 0.250 0.000
Si: 0.750 0.250 0.500
P: 0.069 0.569 0.250
P: 0.069 0.931 0.750
P: 0.431 0.569 0.750
P: 0.431 0.931 0.250
P: 0.569 0.069 0.750
P: 0.569 0.431 0.250
P: 0.931 0.069 0.250
P: 0.931 0.431 0.750
O: 0.092 0.095 0.195
O: 0.092 0.405 0.695
O: 0.095 0.092 0.695
O: 0.095 0.408 0.195
O: 0.110 0.687 0.110
O: 0.110 0.813 0.610
O: 0.187 0.610 0.390
O: 0.187 0.890 0.890
O: 0.250 0.250 0.454
O: 0.250 0.250 0.954
O: 0.313 0.610 0.890
O: 0.313 0.890 0.390
O: 0.390 0.687 0.610
O: 0.390 0.813 0.110
O: 0.405 0.092 0.195
O: 0.405 0.408 0.695
O: 0.408 0.095 0.695
O: 0.408 0.405 0.195
O: 0.592 0.595 0.805
O: 0.592 0.905 0.305
O: 0.595 0.592 0.305
O: 0.595 0.908 0.805
O: 0.610 0.187 0.890
O: 0.610 0.313 0.390
O: 0.687 0.110 0.610
O: 0.687 0.390 0.110
O: 0.750 0.750 0.046
O: 0.750 0.750 0.546
O: 0.813 0.110 0.110
O: 0.813 0.390 0.610
O: 0.890 0.187 0.390
O: 0.890 0.313 0.890
O: 0.905 0.592 0.805
O: 0.905 0.908 0.305
O: 0.908 0.595 0.305
O: 0.908 0.905 0.805

***

Entry 12:
Computed, not measured: YCo2Hg2 after structural relaxation at the GGA-PBEsol level of DFT.

Output
For the density of states at the Fermi level, the calculation gives 6.8 states/eV/f.u. The raw total energy comes out at -23.30 eV/cell.

Unit cell a=6.075 b=6.075 c=6.075 alpha=139.92 beta=139.92 gamma=57.97
Element x y z (fractional)
Y: 0.000 0.000 0.000
Co: 0.402 0.402 0.000
Co: 0.598 0.598 0.000
Hg: 0.250 0.750 0.500
Hg: 0.750 0.250 0.500

***

Entry 13:
Computed, not measured: SnBSb2 after structural relaxation at the GGA-PBEsol level of DFT.

Output
For the density of states at the Fermi level, the calculation gives 1.6 states/eV/f.u. The raw total energy comes out at -16.52 eV/cell. The distance to the lowest polymorph of the same formula comes out at 571 meV per atom.

Unit cell a=4.972 b=4.972 c=4.972 alpha=60.00 beta=60.00 gamma=60.00
Element x y z (fractional)
Sn: 0.000 0.000 0.000
B: 0.500 0.500 0.500
Sb: 0.250 0.250 0.250
Sb: 0.750 0.750 0.750

***

Entry 14:
Computed, not measured: LiY2Ag after structural relaxation at the GGA-PBEsol level of DFT.

Output
For the density of states at the Fermi level, the calculation gives 3.7 states/eV/f.u. The raw total energy comes out at -19.35 eV/cell. The distance to the lowest polymorph of the same formula comes out at 8 meV per atom.

Unit cell a=3.575 b=3.575 c=7.316 alpha=90.00 beta=90.00 gamma=90.00
Element x y z (fractional)
Li: 0.000 0.000 0.000
Y: 0.000 0.000 0.590
Y: 0.500 0.500 0.267
Ag: 0.500 0.500 0.836

***

Entry 15:
Computed, not measured: MnTeRh2 after structural relaxation at the GGA-PBEsol level of DFT.

Output
For the density of states at the Fermi level, the calculation gives 3.6 states/eV/f.u. The raw total energy comes out at -29.56 eV/cell.

Unit cell a=3.093 b=3.492 c=5.732 alpha=90.00 beta=90.00 gamma=90.00
Element x y z (fractional)
Mn: 0.000 0.000 0.000
Te: 0.000 0.000 0.500
Rh: 0.500 0.500 0.239
Rh: 0.500 0.500 0.761

***

Entry 16:
Computed, not measured: CsAgO2 after structural relaxation at the GGA-PBEsol level of DFT.

Output
For the density of states at the Fermi level, the calculation gives 1.3 states/eV/f.u. The raw total energy comes out at -32.32 eV/cell.

Unit cell a=6.821 b=6.821 c=6.821 alpha=132.76 beta=132.76 gamma=69.04
Element x y z (fractional)
Cs: 0.000 0.000 0.000
Cs: 0.750 0.250 0.500
Ag: 0.250 0.750 0.500
Ag: 0.500 0.500 0.000
O: 0.285 0.625 0.160
O: 0.375 0.535 0.660
O: 0.465 0.125 0.840
O: 0.875 0.715 0.340

***

Entry 17:
Computed, not measured: Zr2PtW after structural relaxation at the GGA-PBEsol level of DFT.

Output
For the density of states at the Fermi level, the calculation gives 3.4 states/eV/f.u. The raw total energy comes out at -39.63 eV/cell.

Unit cell a=4.623 b=4.623 c=4.623 alpha=60.00 beta=60.00 gamma=60.00
Element x y z (fractional)
Zr: 0.000 0.000 0.000
Zr: 0.250 0.250 0.250
Pt: 0.500 0.500 0.500
W: 0.750 0.750 0.750

***

Entry 18:
Computed, not measured: Ni2AsW after structural relaxation at the GGA-PBEsol level of DFT.

Output
For the density of states at the Fermi level, the calculation gives 2.5 states/eV/f.u. The raw total energy comes out at -30.90 eV/cell.

Unit cell a=3.224 b=3.958 c=3.974 alpha=90.00 beta=90.00 gamma=90.00
Element x y z (fractional)
Ni: 0.000 0.000 0.000
Ni: 0.500 0.000 0.500
As: 0.000 0.500 0.500
W: 0.500 0.500 0.000

***

Entry 19:
Computed, not measured: CoNi2RhN after structural relaxation at the GGA-PBEsol level of DFT.

Output
For the density of states at the Fermi level, the calculation gives 6.5 states/eV/f.u. The raw total energy comes out at -36.41 eV/cell.

Unit cell a=3.746 b=3.746 c=3.683 alpha=90.00 beta=90.00 gamma=90.00
Element x y z (fractional)
Co: 0.000 0.000 0.000
Ni: 0.000 0.500 0.500
Ni: 0.500 0.000 0.500
Rh: 0.500 0.500 0.000
N: 0.000 0.000 0.500

***

Entry 20:
Computed, not measured: CsZnSn2Hg after structural relaxation at the GGA-PBEsol level of DFT.

Output
For the density of states at the Fermi level, the calculation gives 2.7 states/eV/f.u. The raw total energy comes out at -10.18 eV/cell.

Unit cell a=5.744 b=5.744 c=5.036 alpha=90.00 beta=90.00 gamma=90.00
Element x y z (fractional)
Cs: 0.000 0.000 0.000
Zn: 0.500 0.500 0.000
Sn: 0.000 0.500 0.500
Sn: 0.500 0.000 0.500
Hg: 0.500 0.500 0.500

***

Results for calculated volume: 89.0; 103.3; 59.6; 92.4; 187.2; 117.7; 831.3; 117.6; 425.3; 55.6; 628.1; 92.1; 86.9; 93.5; 61.9; 168.0; 69.9; 50.7; 51.7; 166.2 (in Å³ per cell, following the order of the records).